VASP calculation (PBE) on an optimized crystal structure of Sr2LiGaO4.

* energy relative to the elements, uncorrected: -2151 meV per atom
* calculated density: 4.6 g/cm3
* N(E_F): 0.000 states/eV per atom
* size of the total moment: 0.00 μB/f.u.

a = 4.410 Å, b = 5.930 Å, c = 9.566 Å
α = 85.08°, β = 76.67°, γ = 68.17°
Sites, in units of the cell vectors:
O 0.910 0.785 0.897
Li 0.000 0.000 0.000
O 0.557 0.285 0.603
Sr 0.926 0.500 0.148
Sr 0.574 0.500 0.852
O 0.446 0.715 0.397
O 0.193 0.215 0.897
O 0.840 0.715 0.603
Sr 0.176 0.000 0.648
O 0.158 0.285 0.397
Ga 0.250 0.500 0.500
Ga 0.500 0.000 0.000
O 0.592 0.215 0.103
O 0.304 0.785 0.103
Sr 0.824 0.000 0.352
Li 0.750 0.500 0.500

***

VASP calculation (PBE) on an optimized crystal structure of SrLiGa2O.

* energy relative to the elements, uncorrected: -599 meV per atom
* calculated density: 3.7 g/cm3
* N(E_F): 0.538 states/eV per atom
* size of the total moment: 0.00 μB/f.u.

a = 4.834 Å, b = 4.746 Å, c = 4.834 Å
α = 90.00°, β = 90.00°, γ = 90.00°
Sites, in units of the cell vectors:
Sr 0.000 0.500 0.000
Ga 0.500 0.000 0.000
Ga 0.000 0.000 0.500
Li 0.500 0.500 0.500
O 0.000 0.000 0.000

***

VASP calculation (PBE) on an optimized crystal structure of LiTb2GaO5.

* energy relative to the elements, uncorrected: -2547 meV per atom
* calculated density: 6.6 g/cm3
* N(E_F): 0.000 states/eV per atom
* size of the total moment: 0.00 μB/f.u.

a = 5.691 Å, b = 6.477 Å, c = 6.477 Å
α = 90.00°, β = 90.00°, γ = 90.00°
Sites, in units of the cell vectors:
O 0.500 0.500 0.500
Ga 0.000 0.500 0.000
O 0.242 0.361 0.139
Tb 0.500 0.322 0.822
Tb 0.500 0.678 0.178
Li 0.000 0.500 0.500
O 0.758 0.139 0.639
O 0.758 0.861 0.361
Tb 0.500 0.178 0.322
O 0.758 0.639 0.861
Li 0.000 0.000 0.000
O 0.758 0.361 0.139
O 0.242 0.639 0.861
Tb 0.500 0.822 0.678
Ga 0.000 0.000 0.500
O 0.500 0.000 0.000
O 0.242 0.861 0.361
O 0.242 0.139 0.639